DFT (PBE-GGA) results for crystalline Tm3NiAg at its relaxed geometry.

The calculation puts the calculated formation energy at -0.281 eV/atom. The space group is No. 12. For the total energy, the calculation gives -4.69 eV/atom.

Lattice parameters (Å, degrees): 5.8874 5.8874 8.4647 67.21 67.21 65.38
Fractional positions:
1 Ag 0.7180 0.2820 0.5000
2 Tm 0.9689 0.9689 0.2279
3 Ni 0.6967 0.3033 0.0000
4 Ni 0.3033 0.6967 0.0000
5 Ag 0.2820 0.7180 0.5000
6 Tm 0.2904 0.2904 0.3151
7 Tm 0.7096 0.7096 0.6849
8 Tm 0.0311 0.0311 0.7721
9 Tm 0.3182 0.3182 0.8728
10 Tm 0.6818 0.6818 0.1272

---

DFT (PBE-GGA) results for crystalline NaTh2Se3 at its relaxed geometry.

For the formation energy without anion corrections, the calculation gives -1.506 eV/atom. The space group is No. 14. For the total energy, the calculation gives -5.94 eV/atom.

Lattice parameters (Å, degrees): 5.9364 8.4030 12.5915 90.00 90.00 89.99
Fractional positions:
1 Na 0.2495 0.3829 0.4164
2 Se 0.7495 0.3744 0.4166
3 Th 0.2507 0.8803 0.7467
4 Se 0.2502 0.6398 0.9195
5 Se 0.2505 0.1256 0.9166
6 Se 0.2502 0.1398 0.5805
7 Na 0.7505 0.6171 0.5836
8 Se 0.7507 0.3702 0.7490
9 Na 0.7505 0.1171 0.9164
10 Th 0.2498 0.3823 0.0794
11 Th 0.2507 0.3803 0.7533
12 Se 0.2493 0.6298 0.2510
13 Th 0.2498 0.8823 0.4206
14 Th 0.7493 0.6197 0.2467
15 Th 0.7502 0.6177 0.9206
16 Se 0.7498 0.3602 0.0805
17 Na 0.2495 0.8829 0.0836
18 Th 0.7493 0.1197 0.2533
19 Se 0.7495 0.8744 0.0834
20 Se 0.7507 0.8702 0.7510
21 Se 0.7498 0.8602 0.4195
22 Th 0.7502 0.1177 0.5794
23 Se 0.2493 0.1298 0.2490
24 Se 0.2505 0.6256 0.5834

---

DFT (PBE-GGA) results for crystalline Er2MgAg5 at its relaxed geometry.

The calculation puts the calculated formation energy at -0.223 eV/atom. The space group is No. 139. For the total energy, the calculation gives -3.35 eV/atom.

Lattice parameters (Å, degrees): 4.9919 4.9919 7.5715 109.25 109.25 90.00
Fractional positions:
1 Ag 0.5000 0.5000 0.0000
2 Ag 0.1139 0.6139 0.2279
3 Ag 0.8861 0.3861 0.7721
4 Ag 0.6139 0.1139 0.2279
5 Er 0.2585 0.2585 0.5171
6 Mg 0.0000 0.0000 0.0000
7 Ag 0.3861 0.8861 0.7721
8 Er 0.7415 0.7415 0.4829

---

DFT (PBE-GGA) results for crystalline TmPd8Au2 at its relaxed geometry.

The calculation puts the calculated formation energy at -0.234 eV/atom. The space group is No. 12. For the total energy, the calculation gives -5.01 eV/atom.

Lattice parameters (Å, degrees): 4.9241 7.3988 7.9444 62.25 71.97 48.36
Fractional positions:
1 Au 0.0000 0.3185 0.3630
2 Pd 0.7636 0.1014 0.2760
3 Pd 0.2364 0.8986 0.7240
4 Pd 0.2582 0.4905 0.0000
5 Pd 0.7636 0.3775 0.7240
6 Pd 0.2364 0.6225 0.2760
7 Pd 0.5000 0.1926 0.6148
8 Au 0.0000 0.6815 0.6370
9 Pd 0.5000 0.8074 0.3852
10 Pd 0.7418 0.5095 0.0000
11 Tm 0.5000 0.0000 0.0000